{"formula": "Pm3MgSn4", "functional": "PBE", "state": "relaxed", "lattice": [[2.431, 1.404, 11.382], [-2.431, 1.404, 11.382], [0.000, -2.808, 11.382]], "species": ["Pm", "Pm", "Pm", "Mg", "Sn", "Sn", "Sn", "Sn"], "fractional_positions": [[0.000, 0.000, 0.000], [0.244, 0.244, 0.244], [0.756, 0.756, 0.756], [0.500, 0.500, 0.500], [0.138, 0.138, 0.138], [0.378, 0.378, 0.378], [0.622, 0.622, 0.622], [0.862, 0.862, 0.862]], "formation_energy_mev_per_atom": -508, "dft_energy_ha_per_atom": -0.1650, "sg": "R-3m, No. 166", "density_g_cm3": 6.65}


{"formula": "SrPmMgSn", "functional": "PBE", "state": "relaxed", "lattice": [[0.000, 3.934, 3.934], [3.934, 0.000, 3.934], [3.934, 3.934, 0.000]], "species": ["Sr", "Pm", "Mg", "Sn"], "fractional_positions": [[0.000, 0.000, 0.000], [0.500, 0.500, 0.500], [0.750, 0.750, 0.750], [0.250, 0.250, 0.250]], "formation_energy_mev_per_atom": -357, "dft_energy_ha_per_atom": -0.1237, "sg": "F-43m, No. 216", "density_g_cm3": 5.12}


{"formula": "PmYMgSn", "functional": "PBE", "state": "relaxed", "lattice": [[0.000, 3.790, 3.790], [3.790, 0.000, 3.790], [3.790, 3.790, 0.000]], "species": ["Pm", "Y", "Mg", "Sn"], "fractional_positions": [[0.000, 0.000, 0.000], [0.500, 0.500, 0.500], [0.250, 0.250, 0.250], [0.750, 0.750, 0.750]], "formation_energy_mev_per_atom": -433, "dft_energy_ha_per_atom": -0.1704, "sg": "F-43m, No. 216", "density_g_cm3": 5.75}


{"formula": "PmMgZnSn", "functional": "PBE", "state": "relaxed", "lattice": [[0.000, 3.626, 3.626], [3.626, 0.000, 3.626], [3.626, 3.626, 0.000]], "species": ["Pm", "Mg", "Zn", "Sn"], "fractional_positions": [[0.000, 0.000, 0.000], [0.500, 0.500, 0.500], [0.750, 0.750, 0.750], [0.250, 0.250, 0.250]], "formation_energy_mev_per_atom": -319, "dft_energy_ha_per_atom": -0.1185, "sg": "F-43m, No. 216", "density_g_cm3": 6.16}